1.
# Ni2AsIr

Crystalline Ni2AsIr at its relaxed geometry (PBE, the Alexandria database).

Results
Calculated formation energy: 46 meV/atom

Unit cell a=2.754 b=3.627 c=5.228 alpha=90.00 beta=90.00 gamma=90.00
Space group Pmmm (No. 47)
Unique sites:
Ni: 0.000 0.000 0.248 x2
As: 0.500 0.500 0.500 x1
Ir: 0.500 0.500 0.000 x1

=====

2.
# AgSe

Crystalline AgSe at its relaxed geometry (PBE, the Alexandria database).

Unit cell a=4.9508 b=4.9508 c=12.5135 alpha=90.00 beta=90.00 gamma=120.00
Space group R-3m (No. 166, hexagonal axes)
Unique sites:
Ag: 0.0000 0.0000 0.1116 x6
Se: 0.0000 0.0000 0.3205 x6

=====

3.
# TbHo8Er3

Crystalline TbHo8Er3 at its relaxed geometry (PBE, the Alexandria database).

Results
Calculated formation energy: 20 meV/atom

Unit cell a=7.022 b=7.028 c=9.292 alpha=79.15 beta=67.88 gamma=60.04
Space group P-1 (No. 2)
Unique sites:
Tb: 0.000 0.000 0.000 x1
Ho: 0.167 0.333 0.333 x2
Ho: 0.167 0.833 0.333 x2
Ho: 0.333 0.167 0.667 x2
Ho: 0.333 0.667 0.667 x2
Er: 0.000 0.500 0.000 x1
Er: 0.500 0.000 0.000 x1
Er: 0.500 0.500 0.000 x1

=====

4.
# YZnN2

Crystalline YZnN2 at its relaxed geometry (PBE, the Alexandria database).

Unit cell a=3.6259 b=3.6259 c=17.7739 alpha=90.00 beta=90.00 gamma=120.00
Space group R-3m (No. 166, hexagonal axes)
Unique sites:
Y: 0.0000 0.0000 0.0000 x3
Zn: 0.0000 0.0000 0.5000 x3
N: 0.0000 0.0000 0.3977 x6

=====

5.
# Ho3PuRu2

Crystalline Ho3PuRu2 at its relaxed geometry (PBE, the Alexandria database).

Results
Calculated formation energy: -160 meV/atom
Energy above the most stable polymorph in this dataset: 66 meV per atom

Unit cell a=16.139 b=4.090 c=10.560 alpha=90.00 beta=116.70 gamma=90.00
Space group C2/m (No. 12)
Unique sites:
Ho: 0.053 0.000 0.199 x4
Ho: 0.167 0.500 0.027 x4
Ho: 0.204 0.000 0.593 x4
Pu: 0.055 0.500 0.655 x4
Ru: 0.118 0.500 0.393 x4
Ru: 0.135 0.000 0.826 x4

=====

6.
# LiCd2Ni

Crystalline LiCd2Ni at its relaxed geometry (PBE, the Alexandria database).

Results
Calculated formation energy: 229 meV/atom
Energy above the most stable polymorph in this dataset: 367 meV per atom

Unit cell a=4.074 b=4.074 c=18.464 alpha=90.00 beta=90.00 gamma=90.00
Space group I-42d (No. 122)
Unique sites:
Li: 0.000 0.000 0.000 x4
Cd: 0.240 0.250 0.625 x8
Ni: 0.000 0.000 0.500 x4

=====

Number 1: total energy -6.223 eV/atom. Number 2: total energy -2.992 eV/atom. Number 3: total energy -4.558 eV/atom. Number 4: total energy -6.502 eV/atom. Number 5: total energy -7.930 eV/atom. Number 6: total energy -2.153 eV/atom.